! KNaSr2Cu | the Alexandria database | GGA-PBE | optimized geometry; values from VASP
&SYSTEM
  ibrav = 0, nat = 5, ntyp = 4
/
ATOMIC_SPECIES
K 39.10 K.upf
Na 22.99 Na.upf
Sr 87.62 Sr.upf
Cu 63.55 Cu.upf
CELL_PARAMETERS angstrom
6.0522 0.0000 0.0000
0.0000 6.0522 0.0000
0.0000 0.0000 6.4109
ATOMIC_POSITIONS angstrom
K 0.0000 0.0000 0.0000
Na 3.0261 3.0261 0.0000
Sr 0.0000 3.0261 3.2054
Sr 3.0261 0.0000 3.2054
Cu 0.0000 0.0000 3.2054
! Energy of formation from the pure elements in eV per atom: 0.115
! SG: No. 123
! Offset from the most stable computed form in eV per atom: 0.017